# Os2RuRh2

An optimized crystal structure of Os2RuRh2 (PBE-GGA, Alexandria).

## Properties
**Fermi-level density of states**: 4.82 states/eV/cell
**Polymorph energy (0 for the lowest one)**: 272 meV/atom
**VASP energy**: -8.529 eV per atom
**Volume**: 16.0 Å³ per atom
**M_tot**: 0.343 μB per atom
**Space group**: No. 139

Cell: 3.566 3.566 6.782 Å, 74.76 74.76 90.00°
Each line ends with the local moment (μB).
Sites, in units of the cell vectors:
Os 0.250 0.750 0.500  0.05
Os 0.750 0.250 0.500  0.05
Ru 0.000 0.000 0.000  1.42
Rh 0.402 0.402 0.196  0.07
Rh 0.598 0.598 0.804  0.07


# OsRu2Rh

An optimized crystal structure of OsRu2Rh (PBE-GGA, Alexandria).

## Properties
**Fermi-level density of states**: 5.01 states/eV/cell
**Polymorph energy (0 for the lowest one)**: 109 meV/atom
**VASP energy**: -9.161 eV per atom
**Volume**: 14.1 Å³ per atom
**M_tot**: 0.000 μB per atom
**Space group**: No. 160

Cell: 8.956 8.956 8.956 Å, 17.48 17.48 17.48°
Sites, in units of the cell vectors:
Ru 0.250 0.250 0.250
Ru 0.999 0.999 0.999
Os 0.501 0.501 0.501
Rh 0.750 0.750 0.750